This record from Alexandria describes a relaxed LaTbHoTm2 crystal. The functional is PBE-GGA.

Lattice parameters (Å, degrees): 7.1009 7.1009 7.2043 90.00 90.00 107.63
Fractional positions:
La 0.2326 0.7674 0.7500
La 0.7674 0.2326 0.2500
Tb 0.4988 0.5012 0.2500
Tb 0.5012 0.4988 0.7500
Ho 0.2174 0.7826 0.2500
Ho 0.7826 0.2174 0.7500
Tm 0.1888 0.1888 0.0000
Tm 0.1888 0.1888 0.5000
Tm 0.8112 0.8112 0.0000
Tm 0.8112 0.8112 0.5000

Computed properties:
* ρ: 7.68 Mg/m³
* N(E_F): 1.42 states/eV per atom
* ΔE_f: 360 meV/atom
* volume: 34.62 Å³ per atom


This record from Alexandria describes a relaxed La4Tb2Ho2Tm crystal. The functional is PBE-GGA.

Lattice parameters (Å, degrees): 9.5989 9.5989 8.8845 90.07 90.07 21.84
Fractional positions:
La 0.0548 0.0548 0.3264
La 0.2772 0.2772 0.6735
La 0.7228 0.7228 0.3265
La 0.9452 0.9452 0.6736
Tb 0.3889 0.3889 0.3289
Tb 0.6111 0.6111 0.6711
Ho 0.1654 0.1654 0.9974
Ho 0.8346 0.8346 0.0026
Tm 0.5000 0.5000 0.0000

Computed properties:
* ρ: 7.48 Mg/m³
* N(E_F): 1.74 states/eV per atom
* ΔE_f: 30 meV/atom
* volume: 33.84 Å³ per atom